Below is a relaxed structure of Sm2GeO5, with properties calculated at the PBE level.

Summary:
Energy relative to the lowest polymorph listed for this composition = 0.255 eV/atom
Calculated total energy = -7.47 eV/atom

a = 5.826 Å, b = 5.826 Å, c = 5.179 Å
α = 113.75°, β = 113.75°, γ = 90.18°
Positions (direct):
Sm1 0.228 0.772 0.000
Sm2 0.772 0.228 0.000
Ge1 0.841 0.841 0.300
O1 0.065 0.596 0.236
O2 0.071 0.071 0.318
O3 0.570 0.570 0.018
O4 0.596 0.065 0.236
O5 0.898 0.898 0.688



Below is a relaxed structure of NiAgOs2, with properties calculated at the PBE level.

Summary:
Energy relative to the lowest polymorph listed for this composition = 0.000 eV/atom
Calculated total energy = -7.48 eV/atom
E_form = 297 meV per atom

a = 9.068 Å, b = 9.068 Å, c = 9.068 Å
α = 17.36°, β = 17.36°, γ = 17.36°
Positions (direct):
Ni1 0.000 0.000 0.000
Ag1 0.750 0.750 0.750
Os1 0.256 0.256 0.256
Os2 0.510 0.510 0.510



Below is a relaxed structure of BaHfCl6, with properties calculated at the PBE level.

Summary:
Calculated total energy = -4.96 eV/atom

a = 6.773 Å, b = 6.773 Å, c = 6.679 Å
α = 97.73°, β = 97.73°, γ = 114.66°
Positions (direct):
Ba1 0.000 0.000 0.000
Hf1 0.500 0.500 0.500
Cl1 0.177 0.481 0.263
Cl2 0.245 0.245 0.680
Cl3 0.481 0.177 0.263
Cl4 0.519 0.823 0.737
Cl5 0.755 0.755 0.320
Cl6 0.823 0.519 0.737



Below is a relaxed structure of RbH3Se, with properties calculated at the PBE level.

Summary:
Energy relative to the lowest polymorph listed for this composition = 0.000 eV/atom
Calculated total energy = -3.31 eV/atom

a = 4.736 Å, b = 8.814 Å, c = 5.187 Å
α = 90.00°, β = 90.00°, γ = 90.00°
Positions (direct):
Rb1 0.000 0.191 0.000
Rb2 0.000 0.809 0.500
H1 0.500 0.037 0.652
H2 0.500 0.414 0.908
H3 0.500 0.476 0.008
H4 0.500 0.524 0.508
H5 0.500 0.586 0.408
H6 0.500 0.963 0.152
Se1 0.500 0.182 0.501
Se2 0.500 0.818 0.001



- Among the records above, which one has the highest calculated total energy?
  RbH3Se



- Look up the calculated total energy of the third one.
  -4.96 eV/atom



- Number 4 is which compound?
  RbH3Se